1.
{"formula": "K2MnCuH6", "functional": "PBE", "state": "relaxed", "lattice_angstrom": [[5.2070, 0.0009, 0.0010], [0.0008, 5.2071, 0.0010], [2.6048, 2.6049, 4.4854]], "species": ["K", "K", "Mn", "Cu", "H", "H", "H", "H", "H", "H"], "fractional_positions": [[0.7500, 0.2500, 0.5000], [0.2500, 0.7500, 0.5000], [0.0000, 0.0000, 0.0000], [0.5000, 0.5000, 0.0000], [0.1942, 0.1942, 0.6116], [0.7362, 0.7361, 0.0006], [0.2630, 0.7369, 0.0000], [0.7369, 0.2631, 0.0000], [0.2638, 0.2639, 0.9994], [0.8058, 0.8058, 0.3884]], "volume_a3_per_fu": 122, "space_group": "I4/mmm (139)", "total_magnetization_mub_per_cell": 4.090, "dos_at_fermi_per_ev_fu": 0.5, "final_energy_ev_per_cell": -35.71}

=====

2.
{"formula": "BaAgHg2Bi", "functional": "PBE", "state": "relaxed", "lattice_angstrom": [[-0.8922, -4.0383, -3.4859], [4.5509, -2.4204, 1.6392], [-2.9766, -2.8470, 4.0600]], "species": ["Ba", "Bi", "Ag", "Hg", "Hg"], "fractional_positions": [[0.5000, 0.5000, 0.5000], [0.0000, 0.0000, 0.5000], [0.0000, 0.0000, 0.0000], [0.0000, 0.5000, 0.0000], [0.5000, 0.0000, 0.0000]], "volume_a3_per_fu": 169, "space_group": "P4/mmm (123)", "total_magnetization_mub_per_cell": 0.000, "formation_enthalpy_0k_mev_per_atom": -231, "dos_at_fermi_per_ev_fu": 1.7, "polymorph_energy_kj_per_mol_fu": 57}

=====

3.
{"formula": "CuNiPd3", "functional": "PBE", "state": "relaxed", "lattice_angstrom": [[2.7803, 0.0000, 0.0007], [-0.0001, 6.7152, 0.0003], [-0.0020, 0.0000, 7.7913]], "species": ["Cu", "Cu", "Ni", "Ni", "Pd", "Pd", "Pd", "Pd", "Pd", "Pd"], "fractional_positions": [[0.5906, 0.0351, 0.8868], [0.5906, 0.1896, 0.3867], [0.5906, 0.6118, 0.1382], [0.5906, 0.6128, 0.6382], [0.0907, 0.9252, 0.5708], [0.0906, 0.3000, 0.7044], [0.0907, 0.2994, 0.0708], [0.0906, 0.7086, 0.8882], [0.0906, 0.9246, 0.2044], [0.0906, 0.5161, 0.3882]], "volume_a3_per_fu": 73, "space_group": "Pmc2_1 (26)", "total_magnetization_mub_per_cell": 3.048, "formation_enthalpy_0k_mev_per_atom": 96, "dos_at_fermi_per_ev_fu": 6.2, "polymorph_energy_kj_per_mol_fu": 8}